1.
First-principles (GGA-PBE) data for crystalline AcMg3Au3 at its relaxed geometry, as listed in Alexandria via LeMat-Bulk.

Computed properties:
energy of formation = -13.57 kcal/mol of atoms
size of the total moment = 0.00 Bohr magnetons per cell
calculated total energy = -3.263 eV per atom

Cell: 9.1738 9.1738 4.5929 Å, 90.00 90.00 120.00°
Space group P6_3/m (No. 176)
Unique sites:
1 Ac 0.3333 0.6667 0.2500 x2
2 Mg 0.0329 0.7660 0.7500 x6
3 Au 0.0547 0.4316 0.7500 x6

2.
First-principles (GGA-PBE) data for crystalline CrC2 at its relaxed geometry, as listed in Alexandria via LeMat-Bulk.

Computed properties:
E above lowest polymorph = 334 meV per atom
energy of formation = 19.13 kcal/mol of atoms
size of the total moment = 0.01 Bohr magnetons per cell
calculated total energy = -8.528 eV per atom

Cell: 2.4946 2.4946 4.2975 Å, 90.00 90.00 120.00°
Space group P-3m1 (No. 164)
Unique sites:
1 Cr 0.0000 0.0000 0.0000 x1
2 C 0.3333 0.6667 0.5533 x2

3.
First-principles (GGA-PBE) data for crystalline TiNbMoPt at its relaxed geometry, as listed in Alexandria via LeMat-Bulk.

Computed properties:
energy of formation = -9.88 kcal/mol of atoms
size of the total moment = 0.00 Bohr magnetons per cell
calculated total energy = -9.137 eV per atom

Cell: 6.3908 6.3908 6.3908 Å, 90.00 90.00 90.00°
Space group F-43m (No. 216)
Unique sites:
1 Ti 0.0000 0.0000 0.0000 x4
2 Nb 0.0000 0.0000 0.5000 x4
3 Mo 0.2500 0.2500 0.2500 x4
4 Pt 0.2500 0.2500 0.7500 x4

4.
First-principles (GGA-PBE) data for crystalline La2PSe at its relaxed geometry, as listed in Alexandria via LeMat-Bulk.

Computed properties:
E above lowest polymorph = 260 meV per atom
size of the total moment = 0.00 Bohr magnetons per cell
calculated total energy = -6.291 eV per atom

Cell: 4.5109 4.0290 11.9517 Å, 90.00 90.00 90.00°
Space group Amm2 (No. 38)
Unique sites:
1 La 0.0000 0.0000 0.0000 x2
2 La 0.5000 0.0000 0.2588 x2
3 P 0.0000 0.0000 0.7536 x2
4 Se 0.5000 0.0000 0.5122 x2

5.
First-principles (GGA-PBE) data for crystalline Li3Pa3TiN8 at its relaxed geometry, as listed in Alexandria via LeMat-Bulk.

Computed properties:
size of the total moment = 0.00 Bohr magnetons per cell
calculated total energy = -8.292 eV per atom

Cell: 6.8817 6.8817 14.7242 Å, 90.00 90.00 120.00°
Space group R-3m (No. 166, hexagonal axes)
Unique sites:
1 Li 0.0000 0.5000 0.0000 x9
2 Pa 0.0000 0.5000 0.5000 x9
3 Ti 0.0000 0.0000 0.5000 x3
4 N 0.0000 0.0000 0.2395 x6
5 N 0.0206 0.5103 0.2351 x18

6.
First-principles (GGA-PBE) data for crystalline LiThMg2 at its relaxed geometry, as listed in Alexandria via LeMat-Bulk.

Computed properties:
E above lowest polymorph = 41 meV per atom
energy of formation = 1.16 kcal/mol of atoms
size of the total moment = 0.00 Bohr magnetons per cell
calculated total energy = -3.081 eV per atom

Cell: 5.7139 3.2921 11.1992 Å, 90.00 100.10 90.00°
Space group Cm (No. 8)
Unique sites:
1 Li 0.0000 0.0000 0.0000 x2
2 Th 0.1673 0.0000 0.5007 x2
3 Mg 0.0915 0.5000 0.7694 x2
4 Mg 0.4089 0.0000 0.2317 x2

7.
First-principles (GGA-PBE) data for crystalline SmTm3Mg at its relaxed geometry, as listed in Alexandria via LeMat-Bulk.

Computed properties:
E above lowest polymorph = 406 meV per atom
energy of formation = 9.08 kcal/mol of atoms
size of the total moment = 0.00 Bohr magnetons per cell
calculated total energy = -3.552 eV per atom

Cell: 5.1925 10.9726 6.3779 Å, 90.00 113.98 90.00°
Space group P2_1/m (No. 11)
Unique sites:
1 Sm 0.0369 0.2500 0.0718 x2
2 Tm 0.1525 0.5189 0.3050 x4
3 Tm 0.3338 0.2500 0.6667 x2
4 Mg 0.3196 0.7500 0.6408 x2

8.
First-principles (GGA-PBE) data for crystalline Ta2AgPd9 at its relaxed geometry, as listed in Alexandria via LeMat-Bulk.

Computed properties:
energy of formation = -8.83 kcal/mol of atoms
size of the total moment = 0.00 Bohr magnetons per cell
calculated total energy = -6.490 eV per atom

Cell: 3.9790 3.9790 11.9462 Å, 90.00 90.00 90.00°
Space group P4/mmm (No. 123)
Unique sites:
1 Ta 0.0000 0.0000 0.1741 x2
2 Ag 0.0000 0.0000 0.5000 x1
3 Pd 0.0000 0.5000 0.0000 x2
4 Pd 0.0000 0.5000 0.3242 x4
5 Pd 0.5000 0.5000 0.1613 x2
6 Pd 0.5000 0.5000 0.5000 x1

9.
First-principles (GGA-PBE) data for crystalline Ba2SiAu at its relaxed geometry, as listed in Alexandria via LeMat-Bulk.

Computed properties:
E above lowest polymorph = 116 meV per atom
size of the total moment = 0.00 Bohr magnetons per cell
calculated total energy = -3.530 eV per atom

Cell: 8.0636 8.0636 8.0636 Å, 90.00 90.00 90.00°
Space group Fm-3m (No. 225)
Unique sites:
1 Ba 0.2500 0.2500 0.2500 x8
2 Si 0.0000 0.0000 0.0000 x4
3 Au 0.0000 0.0000 0.5000 x4

10.
First-principles (GGA-PBE) data for crystalline TaPPtRhAuI at its relaxed geometry, as listed in Alexandria via LeMat-Bulk.

Computed properties:
E above lowest polymorph = 39 meV per atom
size of the total moment = 0.00 Bohr magnetons per cell
calculated total energy = -6.052 eV per atom

Cell: 5.2227 3.7295 6.0517 Å, 90.00 95.85 90.00°
Space group Pm (No. 6)
Unique sites:
1 Ta 0.0000 0.0000 0.0000 x1
2 P 0.2959 0.5000 0.1235 x1
3 Pt 0.5523 0.0000 0.1944 x1
4 Rh 0.9322 0.5000 0.3247 x1
5 Au 0.2214 0.0000 0.5800 x1
6 I 0.7066 0.5000 0.7033 x1

11.
First-principles (GGA-PBE) data for crystalline TaNiIrRh at its relaxed geometry, as listed in Alexandria via LeMat-Bulk.

Computed properties:
E above lowest polymorph = 0 meV per atom
energy of formation = -12.40 kcal/mol of atoms
size of the total moment = 0.00 Bohr magnetons per cell
calculated total energy = -8.999 eV per atom

Cell: 3.7355 3.9023 3.9117 Å, 90.00 90.00 90.00°
Space group Pmmm (No. 47)
Unique sites:
1 Ta 0.0000 0.0000 0.0000 x1
2 Ni 0.0000 0.5000 0.5000 x1
3 Ir 0.5000 0.0000 0.5000 x1
4 Rh 0.5000 0.5000 0.0000 x1

12.
First-principles (GGA-PBE) data for crystalline TiAl2Cr at its relaxed geometry, as listed in Alexandria via LeMat-Bulk.

Computed properties:
E above lowest polymorph = 38 meV per atom
energy of formation = -4.22 kcal/mol of atoms
size of the total moment = 3.26 Bohr magnetons per cell
calculated total energy = -6.434 eV per atom

Cell: 2.9626 2.9626 6.8993 Å, 90.00 90.00 90.00°
Space group P4/mmm (No. 123)
Unique sites:
1 Ti 0.0000 0.0000 0.0000 x1
2 Al 0.5000 0.5000 0.2732 x2
3 Cr 0.0000 0.0000 0.5000 x1

13.
First-principles (GGA-PBE) data for crystalline TmBS4 at its relaxed geometry, as listed in Alexandria via LeMat-Bulk.

Computed properties:
size of the total moment = 0.00 Bohr magnetons per cell
calculated total energy = -5.340 eV per atom

Cell: 8.1501 6.9401 8.5106 Å, 90.00 90.00 90.00°
Space group Cmcm (No. 63)
Unique sites:
1 Tm 0.0000 0.1465 0.2500 x4
2 B 0.0000 0.3650 0.7500 x4
3 S 0.0000 0.1946 0.5747 x8
4 S 0.1903 0.4772 0.2500 x8

14.
First-principles (GGA-PBE) data for crystalline Nd4HgCl5 at its relaxed geometry, as listed in Alexandria via LeMat-Bulk.

Computed properties:
size of the total moment = 0.00 Bohr magnetons per cell
calculated total energy = -4.414 eV per atom

Cell: 18.0908 4.0066 8.8359 Å, 90.00 101.71 90.00°
Space group C2/m (No. 12)
Unique sites:
1 Nd 0.0038 0.0000 0.2527 x4
2 Nd 0.1685 0.5000 0.0744 x4
3 Hg 0.0000 0.5000 0.0000 x2
4 Cl 0.0000 0.5000 0.5000 x2
5 Cl 0.1663 0.0000 0.8311 x4
6 Cl 0.1666 0.0000 0.3089 x4

15.
First-principles (GGA-PBE) data for crystalline La5PrHo2Tm at its relaxed geometry, as listed in Alexandria via LeMat-Bulk.

Computed properties:
energy of formation = 2.93 kcal/mol of atoms
size of the total moment = 0.00 Bohr magnetons per cell
calculated total energy = -4.655 eV per atom

Cell: 5.5233 21.6336 10.7209 Å, 90.00 90.00 90.00°
Space group Cmcm (No. 63)
Unique sites:
1 La 0.0000 0.0000 0.0000 x4
2 La 0.0000 0.1227 0.2500 x4
3 La 0.0000 0.2206 0.5592 x8
4 La 0.0000 0.4981 0.2500 x4
5 Pr 0.0000 0.2873 0.2500 x4
6 Ho 0.0000 0.3880 0.9998 x8
7 Tm 0.0000 0.1002 0.7500 x4

16.
First-principles (GGA-PBE) data for crystalline CrNiHPt2 at its relaxed geometry, as listed in Alexandria via LeMat-Bulk.

Computed properties:
E above lowest polymorph = 0 meV per atom
size of the total moment = 3.14 Bohr magnetons per cell
calculated total energy = -6.254 eV per atom

Cell: 3.9696 3.9696 3.7407 Å, 90.00 90.00 90.00°
Space group P4/mmm (No. 123)
Unique sites:
1 Cr 0.0000 0.0000 0.0000 x1
2 Ni 0.5000 0.5000 0.0000 x1
3 H 0.5000 0.5000 0.5000 x1
4 Pt 0.0000 0.5000 0.5000 x2

17.
First-principles (GGA-PBE) data for crystalline BaPuSe3 at its relaxed geometry, as listed in Alexandria via LeMat-Bulk.

Computed properties:
size of the total moment = 7.99 Bohr magnetons per cell
calculated total energy = -6.890 eV per atom

Cell: 4.4656 6.9675 9.6284 Å, 90.00 90.00 90.00°
Space group Pmmn (No. 59, origin choice 2)
Unique sites:
1 Ba 0.2500 0.2500 0.1400 x2
2 Pu 0.2500 0.7500 0.3954 x2
3 Se 0.2500 0.5082 0.6462 x4
4 Se 0.2500 0.7500 0.1016 x2

18.
First-principles (GGA-PBE) data for crystalline IrOsPt at its relaxed geometry, as listed in Alexandria via LeMat-Bulk.

Computed properties:
E above lowest polymorph = 48 meV per atom
energy of formation = 1.71 kcal/mol of atoms
size of the total moment = 0.00 Bohr magnetons per cell
calculated total energy = -8.636 eV per atom

Cell: 2.7506 14.5697 4.4557 Å, 90.00 90.00 90.00°
Space group Cmcm (No. 63)
Unique sites:
1 Ir 0.0000 0.1062 0.2500 x4
2 Os 0.0000 0.4473 0.2500 x4
3 Pt 0.0000 0.2146 0.7500 x4

19.
First-principles (GGA-PBE) data for crystalline Ac3AgPb2 at its relaxed geometry, as listed in Alexandria via LeMat-Bulk.

Computed properties:
E above lowest polymorph = 0 meV per atom
energy of formation = -10.63 kcal/mol of atoms
size of the total moment = 3.00 Bohr magnetons per cell
calculated total energy = -4.226 eV per atom

Cell: 13.3567 4.9299 13.0675 Å, 90.00 90.00 90.00°
Space group Pnma (No. 62)
Unique sites:
1 Ac 0.0509 0.2500 0.1306 x4
2 Ac 0.1298 0.7500 0.5597 x4
3 Ac 0.2217 0.2500 0.8020 x4
4 Ag 0.1265 0.2500 0.3752 x4
5 Pb 0.0081 0.7500 0.3162 x4
6 Pb 0.1836 0.7500 0.0041 x4

20.
First-principles (GGA-PBE) data for crystalline LaDy2Ho at its relaxed geometry, as listed in Alexandria via LeMat-Bulk.

Computed properties:
E above lowest polymorph = 0 meV per atom
energy of formation = 0.20 kcal/mol of atoms
size of the total moment = 0.01 Bohr magnetons per cell
calculated total energy = -4.669 eV per atom

Cell: 3.6122 3.6122 34.7405 Å, 90.00 90.00 120.00°
Space group R3m (No. 160, hexagonal axes)
Unique sites:
1 La 0.0000 0.0000 0.0000 x3
2 Dy 0.0000 0.0000 0.4191 x3
3 Dy 0.0000 0.0000 0.5815 x3
4 Ho 0.0000 0.0000 0.8341 x3

21.
First-principles (GGA-PBE) data for crystalline Na3NdPb12 at its relaxed geometry, as listed in Alexandria via LeMat-Bulk.

Computed properties:
energy of formation = -4.14 kcal/mol of atoms
size of the total moment = 0.00 Bohr magnetons per cell
calculated total energy = -3.506 eV per atom

Cell: 4.8687 4.8687 20.1441 Å, 90.00 90.00 90.00°
Space group P4/mmm (No. 123)
Unique sites:
1 Na 0.0000 0.0000 0.0000 x1
2 Na 0.0000 0.0000 0.2502 x2
3 Nd 0.0000 0.0000 0.5000 x1
4 Pb 0.0000 0.5000 0.1241 x4
5 Pb 0.0000 0.5000 0.3726 x4
6 Pb 0.5000 0.5000 0.0000 x1
7 Pb 0.5000 0.5000 0.2466 x2
8 Pb 0.5000 0.5000 0.5000 x1

22.
First-principles (GGA-PBE) data for crystalline BeCu2Os at its relaxed geometry, as listed in Alexandria via LeMat-Bulk.

Computed properties:
energy of formation = 3.01 kcal/mol of atoms
size of the total moment = 0.00 Bohr magnetons per cell
calculated total energy = -5.657 eV per atom

Cell: 8.9054 2.5497 4.5397 Å, 90.00 113.37 90.00°
Space group Cm (No. 8)
Unique sites:
1 Be 0.0000 0.0000 0.0000 x2
2 Cu 0.0182 0.5000 0.4828 x2
3 Cu 0.2783 0.0000 0.6179 x2
4 Os 0.2481 0.5000 0.0927 x2

23.
First-principles (GGA-PBE) data for crystalline BaVSi2Au at its relaxed geometry, as listed in Alexandria via LeMat-Bulk.

Computed properties:
size of the total moment = 1.67 Bohr magnetons per cell
calculated total energy = -4.666 eV per atom

Cell: 4.7023 4.7023 6.0401 Å, 90.00 90.00 90.00°
Space group P4/mmm (No. 123)
Unique sites:
1 Ba 0.0000 0.0000 0.0000 x1
2 V 0.0000 0.0000 0.5000 x1
3 Si 0.0000 0.5000 0.5000 x2
4 Au 0.5000 0.5000 0.0000 x1

24.
First-principles (GGA-PBE) data for crystalline Sr2Cu2GeO6 at its relaxed geometry, as listed in Alexandria via LeMat-Bulk.

Computed properties:
size of the total moment = 6.16 Bohr magnetons per cell
calculated total energy = -5.769 eV per atom

Cell: 5.7547 5.7547 15.4734 Å, 90.00 90.00 120.00°
Space group R-3m (No. 166, hexagonal axes)
Unique sites:
1 Sr 0.0000 0.0000 0.2165 x6
2 Cu 0.0000 0.0000 0.4120 x6
3 Ge 0.0000 0.0000 0.0000 x3
4 O 0.0376 0.5188 0.7469 x18